PuScCrO6 | GGA+U | relaxed

Calculated values
As for the volume: 218.2 Å³ per cell. The value obtained for the size of the total moment is 5.000 μB per formula unit. The total energy is -8.925 eV/atom.

Cell lengths 5.371, 5.371, 8.734 Å; angles 90.00, 90.00, 120.00 degrees
Each line ends with the local moment (μB).
Fractional coordinates of all 18 atoms:
O (0.325, 0.994, 0.627)  -0.12
O (0.675, 0.006, 0.373)  -0.12
O (0.668, 0.675, 0.627)  -0.12
O (0.675, 0.668, 0.127)  -0.12
O (0.325, 0.332, 0.873)  -0.12
Pu (0.667, 0.333, 0.250)  2.61
O (0.332, 0.006, 0.127)  -0.12
O (0.994, 0.668, 0.373)  -0.12
O (0.006, 0.332, 0.627)  -0.12
O (0.332, 0.325, 0.373)  -0.12
Sc (0.333, 0.667, 0.250)  0.03
Sc (0.667, 0.333, 0.750)  0.03
Pu (0.333, 0.667, 0.750)  2.61
O (0.994, 0.325, 0.127)  -0.12
Cr (0.000, 0.000, 0.000)  3.03
Cr (0.000, 0.000, 0.500)  3.03
O (0.006, 0.675, 0.873)  -0.12
O (0.668, 0.994, 0.873)  -0.12